Entry 1:
# Li2Mg5Ga12

A relaxed structure of Li2Mg5Ga12 (PBE-GGA, the Alexandria database).

abc: 6.662 6.636 8.923
angles: 68.17 86.27 90.00
Element x y z (fractional)
Li: 0.000 0.763 0.000
Li: 0.000 0.237 0.000
Mg: 0.554 0.752 0.496
Mg: 0.035 0.701 0.598
Mg: 0.500 0.000 0.000
Mg: 0.965 0.299 0.402
Mg: 0.446 0.248 0.504
Ga: 0.101 0.138 0.724
Ga: 0.740 0.341 0.712
Ga: 0.740 0.947 0.712
Ga: 0.347 0.411 0.776
Ga: 0.347 0.813 0.776
Ga: 0.691 0.538 0.925
Ga: 0.309 0.462 0.075
Ga: 0.653 0.589 0.224
Ga: 0.653 0.187 0.224
Ga: 0.260 0.659 0.288
Ga: 0.260 0.053 0.288
Ga: 0.899 0.862 0.276

Results
uncorrected energy: -2.660 eV/atom
space group: C2/m

---

Entry 2:
# MgCu6Au12

A relaxed structure of MgCu6Au12 (PBE-GGA, the Alexandria database).

abc: 7.184 7.184 7.184
angles: 103.11 103.11 103.11
Element x y z (fractional)
Mg: 0.000 0.000 0.000
Cu: 0.740 0.818 0.566
Cu: 0.434 0.260 0.182
Cu: 0.182 0.434 0.260
Cu: 0.260 0.182 0.434
Cu: 0.566 0.740 0.818
Cu: 0.818 0.566 0.740
Au: 0.818 0.472 0.362
Au: 0.362 0.818 0.472
Au: 0.472 0.362 0.818
Au: 0.182 0.528 0.638
Au: 0.638 0.182 0.528
Au: 0.528 0.638 0.182
Au: 0.973 0.849 0.317
Au: 0.151 0.683 0.027
Au: 0.683 0.027 0.151
Au: 0.027 0.151 0.683
Au: 0.849 0.317 0.973
Au: 0.317 0.973 0.849

Results
uncorrected energy: -3.402 eV/atom
space group: R-3

---

Entry 3:
# VCrRu2

A relaxed structure of VCrRu2 (PBE-GGA, the Alexandria database).

abc: 6.637 6.637 5.408
angles: 52.14 52.14 90.00
Site moments in Bohr magnetons follow the coordinates.
Element x y z (fractional)
Ru: 0.612 0.125 0.250  -0.07
Ru: 0.138 0.625 0.250  -0.07
Ru: 0.375 0.388 0.750  -0.07
Ru: 0.875 0.862 0.750  -0.07
Cr: 0.000 0.000 0.000  2.35
Cr: 0.750 0.250 0.500  2.35
V: 0.500 0.500 0.000  0.17
V: 0.250 0.750 0.500  0.17

Results
uncorrected energy: -8.767 eV/atom
space group: I-42d

---

Entry 4:
# ErCo9Si3

A relaxed structure of ErCo9Si3 (PBE-GGA, the Alexandria database).

abc: 4.718 6.116 6.232
angles: 81.95 67.76 68.29
Site moments in Bohr magnetons follow the coordinates.
Element x y z (fractional)
Er: 0.000 0.000 0.000  -0.21
Co: 0.724 0.776 0.772  0.81
Co: 0.276 0.224 0.228  0.81
Co: 0.504 0.224 0.772  0.81
Co: 0.496 0.776 0.228  0.81
Co: 0.649 0.351 0.355  1.05
Co: 0.351 0.649 0.645  1.05
Co: 0.996 0.649 0.355  1.05
Co: 0.004 0.351 0.645  1.05
Co: 0.000 0.500 0.000  1.18
Si: 0.500 0.500 0.000  -0.04
Si: 0.000 0.000 0.500  -0.03
Si: 0.500 0.000 0.500  -0.03

Results
uncorrected energy: -6.868 eV/atom
formation energy without anion corrections: -0.35 eV per atom
space group: C2/m

---

Entry 5:
# NaAgTeBr6

A relaxed structure of NaAgTeBr6 (PBE-GGA, the Alexandria database).

abc: 6.828 6.828 12.722
angles: 90.00 90.00 90.00
Element x y z (fractional)
Na: 0.500 0.500 0.498
Na: 0.000 0.000 0.998
Ag: 0.500 0.500 0.171
Ag: 0.000 0.000 0.671
Te: 0.500 0.500 0.832
Te: 0.000 0.000 0.332
Br: 0.188 0.812 0.496
Br: 0.812 0.188 0.496
Br: 0.312 0.312 0.996
Br: 0.688 0.688 0.996
Br: 0.198 0.802 0.178
Br: 0.802 0.198 0.178
Br: 0.302 0.302 0.678
Br: 0.698 0.698 0.678
Br: 0.788 0.212 0.825
Br: 0.212 0.788 0.825
Br: 0.712 0.712 0.325
Br: 0.288 0.288 0.325

Results
uncorrected energy: -2.520 eV/atom
formation energy without anion corrections: -0.59 eV per atom
space group: P4_2nm

---

Entry 6:
# Cs2As2Br

A relaxed structure of Cs2As2Br (PBE-GGA, the Alexandria database).

abc: 9.619 9.619 4.738
angles: 90.00 90.00 90.00
Element x y z (fractional)
Cs: 0.209 0.709 0.500
Cs: 0.709 0.791 0.500
Cs: 0.791 0.291 0.500
Cs: 0.291 0.209 0.500
As: 0.419 0.919 0.000
As: 0.919 0.581 0.000
As: 0.581 0.081 0.000
As: 0.081 0.419 0.000
Br: 0.000 0.000 0.000
Br: 0.500 0.500 0.000

Results
energy relative to the lowest polymorph listed for this composition: 0.087 eV/atom
uncorrected energy: -3.192 eV/atom
formation energy without anion corrections: -0.66 eV per atom
space group: P4/mbm

---

Entry 7:
# TbY3Ho3Se8

A relaxed structure of TbY3Ho3Se8 (PBE-GGA, the Alexandria database).

abc: 8.114 8.114 8.119
angles: 119.98 90.00 120.00
Element x y z (fractional)
Tb: 0.000 0.000 0.500
Y: 0.000 0.000 0.000
Y: 0.000 0.500 0.000
Y: 0.500 0.500 0.000
Ho: 0.500 0.000 0.500
Ho: 0.500 0.500 0.500
Ho: 0.000 0.500 0.500
Se: 0.251 0.502 0.253
Se: 0.749 0.498 0.747
Se: 0.745 0.491 0.247
Se: 0.255 0.509 0.753
Se: 0.746 0.002 0.247
Se: 0.254 0.998 0.753
Se: 0.256 0.002 0.247
Se: 0.744 0.998 0.753

Results
uncorrected energy: -6.206 eV/atom
formation energy without anion corrections: -1.83 eV per atom
space group: R-3m

---

Entry 8:
# NbGeAs2

A relaxed structure of NbGeAs2 (PBE-GGA, the Alexandria database).

abc: 6.261 8.740 5.505
angles: 90.00 90.26 90.00
Element x y z (fractional)
Nb: 0.500 0.642 0.500
Nb: 0.500 0.142 0.000
Nb: 0.000 0.990 0.000
Nb: 0.000 0.490 0.500
Ge: 0.351 0.888 0.260
Ge: 0.649 0.888 0.740
Ge: 0.351 0.388 0.760
Ge: 0.649 0.388 0.240
As: 0.745 0.066 0.364
As: 0.255 0.066 0.636
As: 0.745 0.566 0.864
As: 0.255 0.566 0.136
As: 0.840 0.734 0.237
As: 0.160 0.734 0.763
As: 0.840 0.234 0.737
As: 0.160 0.234 0.263

Results
uncorrected energy: -6.151 eV/atom
space group: C2

---

Entry 9:
# CdHg2Sb

A relaxed structure of CdHg2Sb (PBE-GGA, the Alexandria database).

abc: 3.284 3.284 9.410
angles: 90.00 90.00 90.00
Element x y z (fractional)
Sb: 0.500 0.500 0.250
Hg: 0.000 0.000 0.983
Hg: 0.000 0.000 0.517
Cd: 0.500 0.500 0.750

Results
energy relative to the lowest polymorph listed for this composition: 0.090 eV/atom
uncorrected energy: -1.286 eV/atom
formation energy without anion corrections: 0.12 eV per atom
space group: P4/mmm

---

Entry 10:
# ErSbPt4

A relaxed structure of ErSbPt4 (PBE-GGA, the Alexandria database).

abc: 5.410 5.410 5.410
angles: 60.00 60.00 60.00
Element x y z (fractional)
Sb: 0.250 0.250 0.250
Pt: 0.625 0.625 0.124
Pt: 0.625 0.124 0.625
Pt: 0.625 0.625 0.625
Pt: 0.124 0.625 0.625
Er: 0.000 0.000 0.000

Results
uncorrected energy: -6.148 eV/atom
formation energy without anion corrections: -0.67 eV per atom
space group: F-43m

---

Entry 11:
# Ba4Cd2In

A relaxed structure of Ba4Cd2In (PBE-GGA, the Alexandria database).

abc: 6.024 6.024 10.403
angles: 73.17 73.17 60.00
Element x y z (fractional)
In: 0.000 0.000 0.000
Ba: 0.876 0.876 0.371
Ba: 0.124 0.124 0.629
Ba: 0.625 0.625 0.126
Ba: 0.375 0.375 0.874
Cd: 0.748 0.748 0.755
Cd: 0.252 0.252 0.245

Results
uncorrected energy: -2.028 eV/atom
space group: R-3m

---

Entry 12:
# Al2In2Pb

A relaxed structure of Al2In2Pb (PBE-GGA, the Alexandria database).

abc: 8.682 8.682 3.240
angles: 90.00 90.00 90.00
Element x y z (fractional)
Pb: 0.000 0.000 0.000
Pb: 0.500 0.500 0.000
Al: 0.137 0.637 0.500
Al: 0.637 0.863 0.500
Al: 0.863 0.363 0.500
Al: 0.363 0.137 0.500
In: 0.343 0.843 0.000
In: 0.843 0.657 0.000
In: 0.657 0.157 0.000
In: 0.157 0.343 0.000

Results
energy relative to the lowest polymorph listed for this composition: 0.043 eV/atom
uncorrected energy: -3.132 eV/atom
space group: P4/mbm